VASP calculation (meta-GGA SCAN) on a PBEsol-optimized structure of KRb2MoF6.

For the total magnetization, the calculation gives 0.3000 μB per atom. As for the formation energy (no corrections): -2.861 eV/atom.

Cell lengths 9.0240, 9.0240, 9.0240 Å; angles 90.00, 90.00, 90.00 degrees
Closest atoms and distances in Å follow each position.
Space group Fm-3m (No. 225)
Inequivalent atoms, fractional coordinates:
K 0.0000 0.0000 0.0000 [4 per cell]  6 F 2.47
Rb 0.2500 0.2500 0.2500 [8 per cell]  12 F 3.20
Mo 0.0000 0.0000 0.5000 [4 per cell]  6 F 2.04
F 0.0000 0.0000 0.2740 [24 per cell]  1 Mo 2.04